! GGA-PBE TbMgPbAu, relaxed; values from VASP
! **Total energy**: -3.82 eV per atom
! **Formation enthalpy at 0 K**: -0.5164 eV/atom
! **Calculated density**: 10.2 g cm⁻³
&SYSTEM
  ibrav = 0, nat = 4, ntyp = 4
/
ATOMIC_SPECIES
Au 196.97 Au.upf
Tb 158.93 Tb.upf
Pb 207.20 Pb.upf
Mg 24.30 Mg.upf
CELL_PARAMETERS angstrom
5.125 0.000 0.000
2.563 4.438 0.000
2.563 1.479 4.185
ATOMIC_POSITIONS angstrom
Au 5.125 2.959 2.092
Tb 7.688 4.438 3.138
Pb 0.000 0.000 0.000
Mg 2.563 1.479 1.046